## 1
This record from Alexandria describes crystalline Ba2CaGd at its relaxed geometry. The functional is PBE.

Volume = 48.4 Å³ per atom
D(E_F) = 7.87 states/eV/cell
Space-group type = P4/mmm, No. 123
Total magnetic moment = 8.27 μB/f.u.

a = 4.056 Å, b = 4.056 Å, c = 11.759 Å
α = 90.00°, β = 90.00°, γ = 90.00°
Fractional coordinates of all 4 atoms:
Ba1 0.000 0.000 0.236
Ba2 0.000 0.000 0.764
Ca1 0.500 0.500 0.500
Gd1 0.500 0.500 0.000

## 2
This record from Alexandria describes crystalline Ba2CaGd at its relaxed geometry. The functional is PBE.

Volume = 48.2 Å³ per atom
D(E_F) = 9.21 states/eV/cell
Space-group type = Fm-3m, No. 225
Total magnetic moment = 7.56 μB/f.u.

a = 6.485 Å, b = 6.485 Å, c = 6.485 Å
α = 60.00°, β = 60.00°, γ = 60.00°
Fractional coordinates of all 4 atoms:
Ba1 0.250 0.250 0.250
Ba2 0.750 0.750 0.750
Ca1 0.000 0.000 0.000
Gd1 0.500 0.500 0.500

Most favorable first, least favorable last: 1, 2

## 1
This record from Alexandria describes crystalline Ba2CaGe2 at its relaxed geometry. The functional is PBE.

Volume = 34.6 Å³ per atom
D(E_F) = 11.34 states/eV/cell
Space-group type = P4/mbm, No. 127
Total magnetic moment = 0.54 μB/f.u.

a = 8.215 Å, b = 8.215 Å, c = 5.124 Å
α = 90.00°, β = 90.00°, γ = 90.00°
Fractional coordinates of all 10 atoms:
Ba1 0.173 0.327 0.000
Ba2 0.327 0.827 0.000
Ba3 0.673 0.173 0.000
Ba4 0.827 0.673 0.000
Ca1 0.000 0.000 0.500
Ca2 0.500 0.500 0.500
Ge1 0.111 0.611 0.500
Ge2 0.389 0.111 0.500
Ge3 0.611 0.889 0.500
Ge4 0.889 0.389 0.500

## 2
This record from Alexandria describes crystalline Ba2CaGe2 at its relaxed geometry. The functional is PBE.

Volume = 35.6 Å³ per atom
D(E_F) = 6.05 states/eV/cell
Space-group type = I4/mmm, No. 139
Total magnetic moment = 0.00 μB/f.u.

a = 7.807 Å, b = 7.807 Å, c = 7.807 Å
α = 142.14°, β = 142.14°, γ = 54.62°
Fractional coordinates of all 5 atoms:
Ba1 0.250 0.750 0.500
Ba2 0.750 0.250 0.500
Ca1 0.000 0.000 0.000
Ge1 0.413 0.413 0.000
Ge2 0.587 0.587 0.000

Most favorable first, least favorable last: 1, 2

## 1
This record from Alexandria describes crystalline BaCaGe4 at its relaxed geometry. The functional is PBE.

Volume = 26.5 Å³ per atom
D(E_F) = 2.43 states/eV/cell
Space-group type = Immm, No. 71
Total magnetic moment = 0.00 μB/f.u.

a = 6.573 Å, b = 6.573 Å, c = 6.573 Å
α = 143.48°, β = 101.95°, γ = 89.38°
Fractional coordinates of all 6 atoms:
Ba1 0.000 0.000 0.000
Ca1 0.500 0.500 0.000
Ge1 0.110 0.771 0.338
Ge2 0.433 0.771 0.662
Ge3 0.567 0.229 0.338
Ge4 0.890 0.229 0.662

## 2
This record from Alexandria describes crystalline BaCaGe4 at its relaxed geometry. The functional is PBE.

Volume = 27.1 Å³ per atom
D(E_F) = 9.99 states/eV/cell
Space-group type = Pbam, No. 55
Total magnetic moment = 0.00 μB/f.u.

a = 8.655 Å, b = 16.211 Å, c = 4.642 Å
α = 90.00°, β = 90.00°, γ = 90.00°
Fractional coordinates of all 24 atoms:
Ba1 0.125 0.147 0.000
Ba2 0.375 0.647 0.000
Ba3 0.625 0.353 0.000
Ba4 0.875 0.853 0.000
Ca1 0.132 0.412 0.000
Ca2 0.368 0.912 0.000
Ca3 0.632 0.088 0.000
Ca4 0.868 0.588 0.000
Ge1 0.011 0.696 0.500
Ge2 0.119 0.547 0.500
Ge3 0.127 0.959 0.500
Ge4 0.214 0.808 0.500
Ge5 0.286 0.308 0.500
Ge6 0.373 0.459 0.500
Ge7 0.381 0.047 0.500
Ge8 0.489 0.196 0.500
Ge9 0.511 0.804 0.500
Ge10 0.619 0.953 0.500
Ge11 0.627 0.541 0.500
Ge12 0.714 0.692 0.500
Ge13 0.786 0.192 0.500
Ge14 0.873 0.041 0.500
Ge15 0.881 0.453 0.500
Ge16 0.989 0.304 0.500

## 3
This record from Alexandria describes crystalline BaCaGe4 at its relaxed geometry. The functional is PBE.

Volume = 24.7 Å³ per atom
Space-group type = F-43m, No. 216
Total magnetic moment = 0.00 μB/f.u.

a = 5.940 Å, b = 5.940 Å, c = 5.940 Å
α = 60.00°, β = 60.00°, γ = 60.00°
Fractional coordinates of all 6 atoms:
Ba1 0.000 0.000 0.000
Ca1 0.250 0.250 0.250
Ge1 0.153 0.616 0.616
Ge2 0.616 0.153 0.616
Ge3 0.616 0.616 0.153
Ge4 0.616 0.616 0.616

Most favorable first, least favorable last: 2, 1, 3

## 1
This record from Alexandria describes crystalline BaSr2CaGe at its relaxed geometry. The functional is PBE.

Volume = 46.7 Å³ per atom
D(E_F) = 6.01 states/eV/cell
Space-group type = P4/mmm, No. 123
Total magnetic moment = 0.00 μB/f.u.

a = 6.265 Å, b = 6.265 Å, c = 5.950 Å
α = 90.00°, β = 90.00°, γ = 90.00°
Fractional coordinates of all 5 atoms:
Ba1 0.000 0.000 0.000
Sr1 0.000 0.500 0.500
Sr2 0.500 0.000 0.500
Ca1 0.500 0.500 0.000
Ge1 0.500 0.500 0.500

## 2
This record from Alexandria describes crystalline BaSr2CaGe at its relaxed geometry. The functional is PBE.

Volume = 50.6 Å³ per atom
D(E_F) = 6.37 states/eV/cell
Space-group type = P4/mmm, No. 123
Total magnetic moment = 1.14 μB/f.u.

a = 6.214 Å, b = 6.214 Å, c = 6.552 Å
α = 90.00°, β = 90.00°, γ = 90.00°
Fractional coordinates of all 5 atoms:
Ba1 0.000 0.000 0.000
Sr1 0.000 0.500 0.500
Sr2 0.500 0.000 0.500
Ca1 0.500 0.500 0.000
Ge1 0.000 0.000 0.500

Most favorable first, least favorable last: 1, 2

## 1
This record from Alexandria describes crystalline Ba2CaH at its relaxed geometry. The functional is PBE.

Volume = 39.1 Å³ per atom
D(E_F) = 4.67 states/eV/cell
Space-group type = R3m, No. 160
Total magnetic moment = 0.72 μB/f.u.

a = 10.607 Å, b = 10.607 Å, c = 10.607 Å
α = 22.73°, β = 22.73°, γ = 22.73°
Fractional coordinates of all 4 atoms:
Ba1 0.000 0.000 0.000
Ba2 0.227 0.227 0.227
Ca1 0.446 0.446 0.446
H1 0.614 0.614 0.614

## 2
This record from Alexandria describes crystalline Ba2CaH at its relaxed geometry. The functional is PBE.

Volume = 37.5 Å³ per atom
D(E_F) = 4.81 states/eV/cell
Space-group type = P4/mmm, No. 123
Total magnetic moment = 0.00 μB/f.u.

a = 3.829 Å, b = 3.829 Å, c = 10.236 Å
α = 90.00°, β = 90.00°, γ = 90.00°
Fractional coordinates of all 4 atoms:
Ba1 0.000 0.000 0.181
Ba2 0.000 0.000 0.819
Ca1 0.500 0.500 0.500
H1 0.500 0.500 0.000

Most favorable first, least favorable last: 1, 2

## 1
This record from Alexandria describes crystalline Ba2CaH at its relaxed geometry. The functional is PBE.

Volume = 45.8 Å³ per atom
D(E_F) = 7.79 states/eV/cell
Space-group type = Fm-3m, No. 225
Total magnetic moment = 0.00 μB/f.u.

a = 6.376 Å, b = 6.376 Å, c = 6.376 Å
α = 60.00°, β = 60.00°, γ = 60.00°
Fractional coordinates of all 4 atoms:
Ba1 0.250 0.250 0.250
Ba2 0.750 0.750 0.750
Ca1 0.000 0.000 0.000
H1 0.500 0.500 0.500

## 2
This record from Alexandria describes crystalline Ba2CaH at its relaxed geometry. The functional is PBE.

Volume = 42.8 Å³ per atom
D(E_F) = 9.97 states/eV/cell
Space-group type = I-42d, No. 122
Total magnetic moment = 0.33 μB/f.u.

a = 7.673 Å, b = 7.673 Å, c = 7.673 Å
α = 113.89°, β = 113.89°, γ = 100.95°
Fractional coordinates of all 8 atoms:
Ba1 0.375 0.018 0.143
Ba2 0.768 0.625 0.643
Ba3 0.875 0.232 0.857
Ba4 0.982 0.125 0.357
Ca1 0.250 0.750 0.500
Ca2 0.500 0.500 0.000
H1 0.000 0.000 0.000
H2 0.750 0.250 0.500

Most favorable first, least favorable last: 2, 1